No. 1
TlCu2N | GGA-PBE | relaxed

Unit cell a=4.293 b=4.293 c=4.293 alpha=60.00 beta=60.00 gamma=60.00
Positions (direct):
Cu 0.250 0.250 0.250
Cu 0.750 0.750 0.750
N 0.000 0.000 0.000
Tl 0.500 0.500 0.500

SG: No. 225
Raw formation energy in eV per atom: 1.124
Energy relative to the lowest polymorph listed for this composition in eV per formula unit: 3.487

No. 2
Ca2Cu4Ge3Rh | GGA-PBE | relaxed

Unit cell a=4.033 b=4.033 c=10.677 alpha=90.00 beta=90.00 gamma=90.00
Positions (direct):
Ge 0.500 0.000 0.869
Ge 0.000 0.000 0.500
Ge 0.000 0.500 0.131
Rh 0.500 0.500 0.500
Ca 0.500 0.000 0.248
Ca 0.000 0.500 0.752
Cu 0.500 0.500 0.000
Cu 0.000 0.000 0.000
Cu 0.500 0.000 0.644
Cu 0.000 0.500 0.356

SG: No. 115
Calculated total energy in eV/atom: -4.478

No. 3
BaHgI3 | GGA-PBE | relaxed

Unit cell a=6.051 b=6.051 c=6.051 alpha=90.00 beta=90.00 gamma=90.00
Positions (direct):
Hg 0.000 0.000 0.000
I 0.000 0.000 0.500
I 0.500 0.000 0.000
I 0.000 0.500 0.000
Ba 0.500 0.500 0.500

SG: No. 221
Raw formation energy in eV per atom: -0.804
Energy relative to the lowest polymorph listed for this composition in eV per formula unit: 0.000

No. 4
Ti4FeAu | GGA-PBE | relaxed

Unit cell a=4.347 b=4.344 c=7.110 alpha=72.22 beta=72.20 gamma=59.97
Positions (direct):
Fe 0.000 0.000 0.000
Au 0.500 0.500 0.500
Ti 0.111 0.111 0.666
Ti 0.637 0.637 0.090
Ti 0.363 0.363 0.910
Ti 0.889 0.889 0.334

SG: No. 166
Calculated total energy in eV/atom: -7.208

No. 5
Ta3TiRu4 | GGA-PBE | relaxed

Unit cell a=3.069 b=4.502 c=9.085 alpha=90.00 beta=90.00 gamma=90.00
Positions (direct):
Ta 0.500 0.000 0.750
Ta 0.500 0.500 0.500
Ta 0.500 0.000 0.250
Ti 0.500 0.500 0.000
Ru 0.000 0.000 0.000
Ru 0.000 0.500 0.763
Ru 0.000 0.000 0.500
Ru 0.000 0.500 0.237

SG: No. 47
Calculated total energy in eV/atom: -10.488

No. 6
Th8Fe2Rh | GGA-PBE | relaxed

Unit cell a=6.107 b=7.698 c=7.698 alpha=118.97 beta=99.28 gamma=99.28
Positions (direct):
Th 0.368 0.640 0.899
Th 0.797 0.643 0.643
Th 0.972 0.764 0.189
Th 0.972 0.189 0.764
Th 0.585 0.367 0.106
Th 0.368 0.899 0.640
Th 0.163 0.361 0.361
Th 0.585 0.106 0.367
Rh 0.190 0.005 0.005
Fe 0.499 0.324 0.736
Fe 0.499 0.736 0.324

SG: No. 8
Calculated total energy in eV/atom: -7.670

No. 7
InTePt | GGA-PBE | relaxed

Unit cell a=4.455 b=6.361 c=6.359 alpha=59.26 beta=89.90 gamma=89.91
Positions (direct):
Pt 0.397 0.421 0.904
Pt 0.397 0.921 0.404
In 0.897 0.671 0.654
In 0.897 0.171 0.155
Te 0.393 0.171 0.654
Te 0.395 0.671 0.154

SG: No. 1
Raw formation energy in eV per atom: -0.217

No. 8
Tl3CuSi | GGA-PBE | relaxed

Unit cell a=5.184 b=5.184 c=5.184 alpha=90.00 beta=90.00 gamma=90.00
Positions (direct):
Si 0.500 0.500 0.500
Tl 0.000 0.000 0.500
Tl 0.500 0.000 0.000
Tl 0.000 0.500 0.000
Cu 0.000 0.000 0.000

SG: No. 221
Raw formation energy in eV per atom: 0.578
Energy relative to the lowest polymorph listed for this composition in eV per formula unit: 0.000

No. 9
BaMoSCl2 | GGA-PBE | relaxed

Unit cell a=5.075 b=5.075 c=4.661 alpha=90.00 beta=90.00 gamma=90.00
Each line ends with the local moment (μB).
Positions (direct):
Mo 0.000 0.000 0.000  0.37
Ba 0.500 0.500 0.500  0.00
Cl 0.500 0.000 0.000  0.00
Cl 0.000 0.500 0.000  0.00
S 0.000 0.000 0.500  -0.01

SG: No. 123
Raw formation energy in eV per atom: -1.043
Energy relative to the lowest polymorph listed for this composition in eV per formula unit: 0.000

No. 10
ZrMnCuIr2 | GGA-PBE | relaxed

Unit cell a=4.578 b=4.238 c=4.578 alpha=90.00 beta=90.00 gamma=90.00
Each line ends with the local moment (μB).
Positions (direct):
Ir 0.500 0.000 0.000  0.12
Ir 0.000 0.000 0.500  0.19
Cu 0.000 0.000 0.000  0.18
Zr 0.500 0.500 0.500  -0.16
Mn 0.000 0.500 0.000  3.67

SG: No. 123
Calculated total energy in eV/atom: -7.292

No. 11
KDyBr3 | GGA-PBE | relaxed

Unit cell a=7.522 b=8.163 c=11.022 alpha=90.00 beta=90.00 gamma=90.00
Each line ends with the local moment (μB).
Positions (direct):
Br 0.694 0.798 0.545  0.00
Br 0.605 0.523 0.250  0.00
Br 0.694 0.798 0.955  0.00
Br 0.806 0.298 0.545  0.00
Br 0.105 0.977 0.750  0.00
Br 0.306 0.202 0.455  0.00
Br 0.895 0.023 0.250  0.00
Br 0.806 0.298 0.955  0.00
Br 0.194 0.702 0.045  0.00
Br 0.306 0.202 0.045  0.00
Br 0.194 0.702 0.455  0.00
Br 0.395 0.477 0.750  0.00
Dy 0.500 0.500 0.500  0.61
Dy 0.500 0.500 0.000  0.61
Dy 0.000 0.000 0.500  0.61
Dy 0.000 0.000 0.000  0.61
K 0.037 0.419 0.250  0.01
K 0.463 0.919 0.250  0.01
K 0.537 0.081 0.750  0.01
K 0.963 0.581 0.750  0.01

SG: No. 62
Raw formation energy in eV per atom: -1.531

No. 12
ScZnSi | GGA-PBE | relaxed

Unit cell a=3.093 b=3.093 c=6.593 alpha=90.00 beta=90.00 gamma=120.00
Positions (direct):
Si 0.667 0.333 0.343
Sc 0.000 0.000 0.009
Zn 0.333 0.667 0.648

SG: No. 156
Raw formation energy in eV per atom: 0.016

No. 13
AgSnGeSe3 | GGA-PBE | relaxed

Unit cell a=3.880 b=7.908 c=11.353 alpha=108.05 beta=90.00 gamma=90.00
Positions (direct):
Ge 0.250 0.165 0.607
Ge 0.750 0.835 0.393
Se 0.750 0.457 0.184
Se 0.250 0.811 0.538
Se 0.250 0.543 0.816
Se 0.750 0.902 0.120
Se 0.250 0.098 0.880
Se 0.750 0.189 0.462
Sn 0.250 0.182 0.134
Sn 0.750 0.818 0.866
Ag 0.250 0.628 0.084
Ag 0.750 0.372 0.916

SG: No. 11
Raw formation energy in eV per atom: -0.182

No. 14
FeGeAs2Br | GGA-PBE | relaxed

Unit cell a=4.494 b=4.494 c=5.385 alpha=90.00 beta=90.00 gamma=90.00
Each line ends with the local moment (μB).
Positions (direct):
Br 0.000 0.000 0.500  0.01
As 0.000 0.500 0.000  -0.01
As 0.500 0.000 0.000  -0.01
Ge 0.500 0.500 0.500  0.04
Fe 0.000 0.000 0.000  0.98

SG: No. 123
Raw formation energy in eV per atom: 0.455
Energy relative to the lowest polymorph listed for this composition in eV per formula unit: 0.000

No. 15
RbGaCuCl6 | GGA-PBE | relaxed

Unit cell a=6.261 b=6.816 c=7.315 alpha=95.44 beta=93.01 gamma=57.05
Each line ends with the local moment (μB).
Positions (direct):
Cl 0.989 0.617 0.694  0.10
Cl 0.360 0.013 0.661  0.09
Cl 0.616 0.034 0.285  0.01
Cl 0.988 0.395 0.306  0.10
Cl 0.359 0.627 0.339  0.09
Cl 0.617 0.350 0.715  0.01
Rb 0.055 0.973 0.000  0.00
Ga 0.353 0.323 0.500  0.00
Cu 0.663 0.668 0.500  0.49

SG: No. 1
Raw formation energy in eV per atom: -1.075

No. 16
Tb7PrY5 | GGA-PBE | relaxed

Unit cell a=6.722 b=8.767 c=8.767 alpha=80.21 beta=67.46 gamma=67.46
Positions (direct):
Tb 0.513 0.190 0.785
Tb 0.305 0.195 0.195
Tb 0.583 0.417 0.417
Tb 0.294 0.706 0.706
Tb 0.011 0.331 0.647
Tb 0.011 0.647 0.331
Tb 0.513 0.785 0.190
Y 0.001 0.008 0.464
Y 0.734 0.766 0.766
Y 0.001 0.464 0.008
Y 0.527 0.464 0.008
Y 0.527 0.008 0.464
Pr 0.981 0.019 0.019

SG: No. 44
Calculated total energy in eV/atom: -5.085

No. 17
PmPu4 | GGA-PBE | relaxed

Unit cell a=5.549 b=5.549 c=5.549 alpha=90.00 beta=90.00 gamma=90.00
Each line ends with the local moment (μB).
Positions (direct):
Pu 0.500 0.500 0.000  5.35
Pu 0.000 0.500 0.500  5.35
Pu 0.500 0.000 0.500  5.35
Pu 0.000 0.000 0.000  -5.40
Pm 0.500 0.500 0.500  0.21

SG: No. 221
Calculated total energy in eV/atom: -11.243

No. 18
BaY2Mn | GGA-PBE | relaxed

Unit cell a=7.743 b=7.743 c=7.741 alpha=59.99 beta=59.99 gamma=90.00
Positions (direct):
Mn 0.250 0.750 0.500
Mn 0.500 0.500 0.000
Y 0.375 0.625 0.250
Y 0.375 0.125 0.250
Y 0.375 0.625 0.750
Y 0.875 0.625 0.750
Ba 0.000 0.000 0.000
Ba 0.750 0.250 0.500

SG: No. 227
Energy relative to the lowest polymorph listed for this composition in eV per formula unit: 1.709

No. 19
Be3AgSb | GGA-PBE | relaxed

Unit cell a=4.683 b=4.683 c=4.683 alpha=90.00 beta=90.00 gamma=90.00
Positions (direct):
Be 0.500 0.000 0.000
Be 0.000 0.500 0.000
Be 0.000 0.000 0.500
Ag 0.500 0.500 0.500
Sb 0.000 0.000 0.000

SG: No. 221
Raw formation energy in eV per atom: 1.295
Energy relative to the lowest polymorph listed for this composition in eV per formula unit: 2.293

No. 20
TaSbP | GGA-PBE | relaxed

Unit cell a=4.564 b=4.564 c=4.564 alpha=60.00 beta=60.00 gamma=60.00
Positions (direct):
Ta 0.750 0.750 0.750
P 0.000 0.000 0.000
Sb 0.500 0.500 0.500

SG: No. 216
Raw formation energy in eV per atom: 0.374
Energy relative to the lowest polymorph listed for this composition in eV per formula unit: 1.682

No. 21
Cs3PbS3 | GGA-PBE | relaxed

Unit cell a=8.677 b=10.005 c=13.711 alpha=95.55 beta=90.00 gamma=90.00
Each line ends with the local moment (μB).
Positions (direct):
Cs 0.281 0.661 0.204  0.01
Cs 0.719 0.613 0.574  0.01
Cs 0.848 0.930 0.865  0.00
Cs 0.219 0.387 0.926  0.01
Cs 0.781 0.339 0.296  0.01
Cs 0.348 0.070 0.635  0.00
Cs 0.719 0.339 0.796  0.01
Cs 0.281 0.387 0.426  0.01
Cs 0.652 0.930 0.365  0.00
Cs 0.219 0.661 0.704  0.01
Cs 0.152 0.070 0.135  0.00
Cs 0.781 0.613 0.074  0.01
S 0.455 0.100 0.881  0.18
S 0.955 0.900 0.619  0.18
S 0.370 0.743 0.475  0.15
S 0.870 0.257 0.025  0.15
S 0.545 0.900 0.119  0.18
S 0.076 0.346 0.660  0.14
S 0.424 0.346 0.160  0.14
S 0.630 0.257 0.525  0.15
S 0.576 0.654 0.840  0.14
S 0.130 0.743 0.975  0.15
S 0.045 0.100 0.381  0.18
S 0.924 0.654 0.340  0.14
Pb 0.590 0.164 0.058  0.12
Pb 0.090 0.836 0.442  0.12
Pb 0.410 0.836 0.942  0.12
Pb 0.910 0.164 0.558  0.12

SG: No. 14
Raw formation energy in eV per atom: -0.869
Energy relative to the lowest polymorph listed for this composition in eV per formula unit: 0.000

No. 22
Co2OsRh | GGA-PBE | relaxed

Unit cell a=4.530 b=4.530 c=4.458 alpha=80.01 beta=80.01 gamma=33.79
Each line ends with the local moment (μB).
Positions (direct):
Co 0.749 0.749 0.753  1.03
Co 0.004 0.004 0.989  1.06
Rh 0.251 0.251 0.248  0.11
Os 0.497 0.497 0.509  -0.13

SG: No. 8
Energy relative to the lowest polymorph listed for this composition in eV per formula unit: 0.000

No. 23
LiRhO2F | GGA-PBE | relaxed

Unit cell a=3.839 b=3.839 c=4.424 alpha=90.00 beta=90.00 gamma=90.00
Each line ends with the local moment (μB).
Positions (direct):
O 0.500 0.000 0.000  0.29
O 0.000 0.500 0.000  0.29
F 0.000 0.000 0.500  0.04
Rh 0.000 0.000 0.000  1.06
Li 0.500 0.500 0.500  0.00

SG: No. 123
Raw formation energy in eV per atom: -1.033

No. 24
SiTe2Ir2 | GGA-PBE | relaxed

Unit cell a=5.505 b=5.505 c=5.300 alpha=58.71 beta=58.71 gamma=90.00
Positions (direct):
Te 0.250 0.750 0.500
Te 0.750 0.250 0.500
Ir 0.305 0.305 0.389
Ir 0.695 0.695 0.611
Si 0.000 0.000 0.000

SG: No. 139
Raw formation energy in eV per atom: 0.288
Energy relative to the lowest polymorph listed for this composition in eV per formula unit: 1.375

No. 25
SiAgSb | GGA-PBE | relaxed

Unit cell a=5.042 b=5.042 c=2.984 alpha=90.00 beta=90.00 gamma=120.00
Positions (direct):
Ag 0.000 0.000 0.668
Sb 0.667 0.333 0.666
Si 0.333 0.667 0.666

SG: No. 156
Raw formation energy in eV per atom: 0.415
Energy relative to the lowest polymorph listed for this composition in eV per formula unit: 0.421